Record 1
A plane-wave DFT calculation with PBE was carried out for Hf2Fe2Pt after structural relaxation.

Theoretical density in g/cm3: 14.0
Energy of formation in kJ per mole of atoms: -44.5
N(E_F) in states/eV per cell: 9.46
Space-group type: P4/mbm, No. 127

Cell: 6.618 6.618 3.604 Å, 90.00 90.00 90.00°
Site moments in Bohr magnetons follow the coordinates.
Fractional coordinates of all 10 atoms:
Fe: 0.386 0.886 0.000  0.72
Fe: 0.614 0.114 0.000  0.72
Pt: 0.000 0.000 0.000  0.00
Hf: 0.816 0.316 0.500  -0.13
Fe: 0.886 0.614 0.000  0.72
Hf: 0.184 0.684 0.500  -0.13
Hf: 0.316 0.184 0.500  -0.13
Hf: 0.684 0.816 0.500  -0.13
Fe: 0.114 0.386 0.000  0.72
Pt: 0.500 0.500 0.000  0.00

***

Record 2
A plane-wave DFT calculation with PBE was carried out for Hf5Fe2Pt after structural relaxation.

Theoretical density in g/cm3: 13.7
Energy of formation in kJ per mole of atoms: -41.1
N(E_F) in states/eV per cell: 13.79
Space-group type: I4/mcm, No. 140

Cell: 6.734 6.731 7.987 Å, 114.92 114.93 90.00°
Fractional coordinates of all 16 atoms:
Hf: 0.306 0.806 0.286
Hf: 0.000 0.000 0.000
Hf: 0.480 0.306 0.286
Hf: 0.806 0.980 0.286
Fe: 0.362 0.863 0.000
Hf: 0.020 0.520 0.714
Hf: 0.694 0.194 0.714
Hf: 0.500 0.500 0.000
Hf: 0.194 0.020 0.714
Fe: 0.138 0.362 0.000
Pt: 0.250 0.250 0.500
Fe: 0.862 0.638 0.000
Hf: 0.980 0.480 0.286
Hf: 0.520 0.694 0.714
Fe: 0.638 0.137 0.000
Pt: 0.750 0.750 0.500

***

Record 3
A plane-wave DFT calculation with PBE was carried out for Hf7Fe2Pt2 after structural relaxation.

Theoretical density in g/cm3: 13.8
Energy of formation in kJ per mole of atoms: -44.6
N(E_F) in states/eV per cell: 12.10
Space-group type: Imm2, No. 44

Cell: 3.360 8.419 8.419 Å, 65.88 78.49 78.49°
Fractional coordinates of all 11 atoms:
Pt: 0.000 0.777 0.223
Hf: 0.194 0.696 0.917
Hf: 0.372 0.740 0.516
Hf: 0.129 0.121 0.621
Fe: 0.725 0.862 0.687
Hf: 0.500 0.016 0.984
Hf: 0.628 0.484 0.260
Fe: 0.275 0.313 0.138
Hf: 0.806 0.083 0.304
Hf: 0.871 0.379 0.879
Pt: 0.500 0.383 0.617

***

Record 4
A plane-wave DFT calculation with PBE was carried out for Hf6FePt after structural relaxation.

Theoretical density in g/cm3: 13.0
Energy of formation in kJ per mole of atoms: 5.0
N(E_F) in states/eV per cell: 8.54
Space-group type: C2/m, No. 12

Cell: 6.022 6.036 6.055 Å, 60.10 76.72 62.56°
Fractional coordinates of all 8 atoms:
Hf: 0.741 0.061 0.401
Hf: 0.738 0.739 0.000
Hf: 0.741 0.463 0.599
Hf: 0.262 0.261 0.000
Pt: 0.000 0.000 0.000
Hf: 0.259 0.537 0.401
Hf: 0.259 0.939 0.599
Fe: 0.500 0.500 0.000

***

Record 5
A plane-wave DFT calculation with PBE was carried out for Hf8FePt2 after structural relaxation.

Theoretical density in g/cm3: 14.0
Energy of formation in kJ per mole of atoms: -39.1
N(E_F) in states/eV per cell: 6.92
Space-group type: C2/m, No. 12

Cell: 4.683 6.170 8.112 Å, 98.28 106.78 90.00°
Site moments in Bohr magnetons follow the coordinates.
Fractional coordinates of all 11 atoms:
Pt: 0.203 0.737 0.405  0.00
Hf: 0.974 0.247 0.948  -0.03
Hf: 0.658 0.956 0.316  -0.03
Hf: 0.808 0.692 0.617  0.02
Fe: 0.500 0.000 0.000  0.46
Hf: 0.192 0.308 0.383  0.02
Hf: 0.342 0.044 0.684  -0.03
Hf: 0.588 0.438 0.176  0.00
Pt: 0.797 0.263 0.595  0.00
Hf: 0.412 0.562 0.824  0.00
Hf: 0.026 0.753 0.052  -0.03

***

Record 6
A plane-wave DFT calculation with PBE was carried out for HfFePt2 after structural relaxation.

Theoretical density in g/cm3: 15.0
Energy of formation in kJ per mole of atoms: -22.5
N(E_F) in states/eV per cell: 6.13
Space-group type: I-42d, No. 122

Cell: 3.930 3.930 9.386 Å, 77.92 77.92 90.00°
Site moments in Bohr magnetons follow the coordinates.
Fractional coordinates of all 8 atoms:
Hf: 0.000 0.000 0.000  -0.23
Hf: 0.750 0.250 0.500  -0.23
Pt: 0.610 0.125 0.250  0.09
Pt: 0.375 0.390 0.750  0.09
Fe: 0.500 0.500 0.000  2.34
Pt: 0.140 0.625 0.250  0.09
Pt: 0.875 0.860 0.750  0.09
Fe: 0.250 0.750 0.500  2.34

***

Record 7
A plane-wave DFT calculation with PBE was carried out for Hf4FePt after structural relaxation.

Theoretical density in g/cm3: 13.9
Energy of formation in kJ per mole of atoms: -47.6
N(E_F) in states/eV per cell: 12.75
Space-group type: P4/mcc, No. 124

Cell: 6.405 6.405 5.608 Å, 90.00 90.00 90.00°
Fractional coordinates of all 12 atoms:
Hf: 0.660 0.187 0.000
Hf: 0.187 0.340 0.000
Hf: 0.813 0.660 0.000
Pt: 0.000 0.000 0.750
Pt: 0.000 0.000 0.250
Fe: 0.500 0.500 0.250
Hf: 0.813 0.340 0.500
Fe: 0.500 0.500 0.750
Hf: 0.660 0.813 0.500
Hf: 0.340 0.187 0.500
Hf: 0.187 0.660 0.500
Hf: 0.340 0.813 0.000

***

Record 8
A plane-wave DFT calculation with PBE was carried out for Hf4FePt after structural relaxation.

Theoretical density in g/cm3: 11.8
Energy of formation in kJ per mole of atoms: -4.2
N(E_F) in states/eV per cell: 12.33
Space-group type: I4_1md, No. 109

Cell: 7.137 7.137 7.137 Å, 104.34 104.34 120.31°
Fractional coordinates of all 12 atoms:
Pt: 0.969 0.469 0.500
Hf: 0.262 0.570 0.308
Hf: 0.739 0.004 0.266
Fe: 0.530 0.030 0.500
Hf: 0.704 0.512 0.192
Hf: 0.739 0.473 0.734
Hf: 0.320 0.512 0.808
Hf: 0.223 0.989 0.234
Pt: 0.219 0.219 0.000
Fe: 0.780 0.780 0.000
Hf: 0.754 0.989 0.766
Hf: 0.262 0.954 0.692

***

Record 9
A plane-wave DFT calculation with PBE was carried out for HfFePt3 after structural relaxation.

Theoretical density in g/cm3: 14.2
Energy of formation in kJ per mole of atoms: 34.8
N(E_F) in states/eV per cell: 3.81
Space-group type: Pm-3m, No. 221

Cell: 4.574 4.574 4.574 Å, 90.00 90.00 90.00°
Site moments in Bohr magnetons follow the coordinates.
Fractional coordinates of all 5 atoms:
Pt: 0.000 0.000 0.500  0.31
Hf: 0.500 0.500 0.500  0.00
Pt: 0.000 0.500 0.000  0.19
Pt: 0.500 0.000 0.000  0.06
Fe: 0.000 0.000 0.000  2.63

***

Record 10
A plane-wave DFT calculation with PBE was carried out for Hf12Fe6Pt after structural relaxation.

Theoretical density in g/cm3: 12.9
Energy of formation in kJ per mole of atoms: -23.9
N(E_F) in states/eV per cell: 18.50
Space-group type: Im-3, No. 204

Cell: 7.653 7.653 7.653 Å, 109.47 109.47 109.47°
Site moments in Bohr magnetons follow the coordinates.
Fractional coordinates of all 19 atoms:
Pt: 0.000 0.000 0.000  0.00
Hf: 0.193 0.289 0.483  -0.02
Hf: 0.289 0.483 0.193  -0.02
Hf: 0.711 0.904 0.193  -0.02
Hf: 0.483 0.193 0.289  -0.02
Hf: 0.193 0.711 0.904  -0.02
Fe: 0.880 0.380 0.500  0.28
Hf: 0.807 0.289 0.096  -0.02
Hf: 0.517 0.807 0.711  -0.02
Hf: 0.096 0.807 0.289  -0.02
Fe: 0.500 0.880 0.380  0.28
Hf: 0.807 0.711 0.517  -0.02
Hf: 0.289 0.096 0.807  -0.02
Hf: 0.904 0.193 0.711  -0.02
Fe: 0.500 0.120 0.620  0.28
Hf: 0.711 0.517 0.807  -0.02
Fe: 0.120 0.620 0.500  0.28
Fe: 0.380 0.500 0.880  0.28
Fe: 0.620 0.500 0.120  0.28

***

Record 11
A plane-wave DFT calculation with PBE was carried out for HfFe2Pt2 after structural relaxation.

Theoretical density in g/cm3: 14.8
Energy of formation in kJ per mole of atoms: -33.3
N(E_F) in states/eV per cell: 10.19
Space-group type: P4/mbm, No. 127

Cell: 7.362 7.362 2.824 Å, 90.00 90.00 90.00°
Site moments in Bohr magnetons follow the coordinates.
Fractional coordinates of all 10 atoms:
Hf: 0.000 0.000 0.000  -0.35
Pt: 0.821 0.321 0.500  0.25
Pt: 0.679 0.821 0.500  0.25
Fe: 0.615 0.115 0.000  2.59
Hf: 0.500 0.500 0.000  -0.34
Fe: 0.885 0.615 0.000  2.58
Pt: 0.321 0.179 0.500  0.25
Fe: 0.385 0.885 0.000  2.59
Fe: 0.115 0.385 0.000  2.58
Pt: 0.179 0.679 0.500  0.25

***

Record 12
A plane-wave DFT calculation with PBE was carried out for HfFePt2W after structural relaxation.

Theoretical density in g/cm3: 14.4
Energy of formation in kJ per mole of atoms: 91.2
N(E_F) in states/eV per cell: 5.71
Space-group type: P4/mmm, No. 123

Cell: 4.552 4.510 4.552 Å, 90.00 90.00 90.00°
Site moments in Bohr magnetons follow the coordinates.
Fractional coordinates of all 5 atoms:
W: 0.500 0.500 0.500  1.38
Hf: 0.000 0.500 0.000  -0.20
Fe: 0.000 0.000 0.000  1.87
Pt: 0.500 0.000 0.000  0.17
Pt: 0.000 0.000 0.500  0.34

***

Record 13
A plane-wave DFT calculation with PBE was carried out for PuHf4Fe after structural relaxation.

Theoretical density in g/cm3: 13.5
Energy of formation in kJ per mole of atoms: 4.3
N(E_F) in states/eV per cell: 19.21
Space-group type: C2/c, No. 15

Cell: 5.514 8.024 7.207 Å, 115.29 101.20 109.77°
Site moments in Bohr magnetons follow the coordinates.
Fractional coordinates of all 12 atoms:
Hf: 0.628 0.073 0.354  0.02
Hf: 0.226 0.281 0.354  0.02
Hf: 0.275 0.632 0.815  0.00
Pu: 0.636 0.386 0.772  5.31
Hf: 0.725 0.368 0.185  0.00
Pu: 0.364 0.614 0.228  5.31
Hf: 0.372 0.927 0.646  0.02
Fe: 0.752 0.002 0.004  0.73
Hf: 0.960 0.817 0.185  0.00
Fe: 0.248 0.998 0.996  0.73
Hf: 0.774 0.719 0.646  0.02
Hf: 0.040 0.183 0.815  0.00

***

Record 14
A plane-wave DFT calculation with PBE was carried out for Pu2HfFe after structural relaxation.

Theoretical density in g/cm3: 13.8
Energy of formation in kJ per mole of atoms: 43.4
N(E_F) in states/eV per cell: 12.69
Space-group type: R-3m, No. 166

Cell: 3.159 3.159 10.253 Å, 81.14 81.14 60.00°
Site moments in Bohr magnetons follow the coordinates.
Fractional coordinates of all 4 atoms:
Fe: 0.500 0.500 0.500  -1.95
Pu: 0.099 0.099 0.704  5.38
Hf: 0.000 0.000 0.000  -0.01
Pu: 0.901 0.901 0.296  5.38

***

Record 15
A plane-wave DFT calculation with PBE was carried out for PuHf2Fe after structural relaxation.

Theoretical density in g/cm3: 12.8
Energy of formation in kJ per mole of atoms: 33.3
N(E_F) in states/eV per cell: 9.50
Space-group type: R-3m, No. 166

Cell: 3.151 3.151 10.071 Å, 81.00 81.00 60.00°
Site moments in Bohr magnetons follow the coordinates.
Fractional coordinates of all 4 atoms:
Pu: 0.000 0.000 0.000  5.38
Fe: 0.500 0.500 0.500  0.97
Hf: 0.895 0.895 0.314  -0.19
Hf: 0.105 0.105 0.686  -0.19

***

Record 16
A plane-wave DFT calculation with PBE was carried out for PuHfFe4 after structural relaxation.

Theoretical density in g/cm3: 12.1
Energy of formation in kJ per mole of atoms: 0.4
N(E_F) in states/eV per cell: 16.18
Space-group type: F-43m, No. 216

Cell: 4.998 4.998 4.998 Å, 60.00 60.00 60.00°
Site moments in Bohr magnetons follow the coordinates.
Fractional coordinates of all 6 atoms:
Pu: 0.250 0.250 0.250  4.55
Fe: 0.125 0.625 0.625  1.71
Fe: 0.625 0.625 0.625  1.71
Fe: 0.625 0.625 0.125  1.71
Fe: 0.625 0.125 0.625  1.71
Hf: 0.000 0.000 0.000  -0.23

***

Record 17
A plane-wave DFT calculation with PBE was carried out for PuHfFe after structural relaxation.

Theoretical density in g/cm3: 14.1
Energy of formation in kJ per mole of atoms: -5.6
N(E_F) in states/eV per cell: 10.89
Space-group type: C2/m, No. 12

Cell: 3.451 5.466 8.031 Å, 126.11 90.02 108.41°
Site moments in Bohr magnetons follow the coordinates.
Fractional coordinates of all 6 atoms:
Pu: 0.675 0.850 0.588  4.74
Hf: 0.918 0.337 0.139  0.07
Fe: 0.649 0.797 0.157  -0.97
Pu: 0.325 0.150 0.412  4.74
Fe: 0.351 0.203 0.843  -0.97
Hf: 0.082 0.663 0.861  0.07

***

Record 18
A plane-wave DFT calculation with PBE was carried out for PuHfFe2 after structural relaxation.

Theoretical density in g/cm3: 13.3
Energy of formation in kJ per mole of atoms: -3.6
N(E_F) in states/eV per cell: 4.76
Space-group type: Fm-3m, No. 225

Cell: 4.551 4.551 4.551 Å, 60.00 60.00 60.00°
Site moments in Bohr magnetons follow the coordinates.
Fractional coordinates of all 4 atoms:
Fe: 0.250 0.250 0.250  -1.44
Hf: 0.500 0.500 0.500  0.39
Fe: 0.750 0.750 0.750  -1.44
Pu: 0.000 0.000 0.000  5.06

***

Record 19
A plane-wave DFT calculation with PBE was carried out for PuHfFe after structural relaxation.

Theoretical density in g/cm3: 13.7
Energy of formation in kJ per mole of atoms: 6.0
N(E_F) in states/eV per cell: 6.09
Space-group type: I4mm, No. 107

Cell: 3.166 3.166 6.209 Å, 104.77 104.77 90.00°
Site moments in Bohr magnetons follow the coordinates.
Fractional coordinates of all 3 atoms:
Pu: 0.022 0.022 0.043  5.15
Hf: 0.305 0.305 0.610  0.20
Fe: 0.673 0.673 0.347  -1.63

***

Record 20
A plane-wave DFT calculation with PBE was carried out for PuHf2Fe after structural relaxation.

Theoretical density in g/cm3: 14.2
Energy of formation in kJ per mole of atoms: -4.3
N(E_F) in states/eV per cell: 6.24
Space-group type: P4/mmm, No. 123

Cell: 3.152 3.152 7.758 Å, 90.00 90.00 90.00°
Site moments in Bohr magnetons follow the coordinates.
Fractional coordinates of all 4 atoms:
Hf: 0.000 0.000 0.800  0.01
Hf: 0.000 0.000 0.200  0.01
Fe: 0.500 0.500 0.000  -0.08
Pu: 0.500 0.500 0.500  5.02